First-principles (PBE-GGA) data for crystalline ZrPtCl2 at its relaxed geometry, as listed in Alexandria.

Structure (POSCAR):
```
ZrPtCl2
1.0
-2.088 2.088 4.195
2.088 -2.088 4.195
2.088 2.088 -4.195
Zr Pt Cl
1 1 2
direct
0.000 0.000 0.000 Zr
0.500 0.500 0.000 Pt
0.250 0.750 0.500 Cl
0.750 0.250 0.500 Cl
```

Values from the calculation:
Total moment   0.000 μB/cell
Offset from the most stable computed form   840 meV/atom


First-principles (PBE-GGA) data for crystalline Pm8Nd3Sc2 at its relaxed geometry, as listed in Alexandria.

Structure (POSCAR):
```
Pm8Nd3Sc2
1.0
9.952 -3.906 0.000
9.952 3.906 0.000
-0.004 0.000 5.741
Pm Nd Sc
8 3 2
direct
0.094 0.680 0.000 Pm
0.180 0.180 0.501 Pm
0.320 0.906 0.000 Pm
0.364 0.364 0.500 Pm
0.636 0.636 0.500 Pm
0.680 0.094 0.000 Pm
0.820 0.820 0.499 Pm
0.906 0.320 0.000 Pm
0.209 0.791 0.500 Nd
0.500 0.500 0.000 Nd
0.791 0.209 0.500 Nd
0.260 0.260 0.001 Sc
0.740 0.740 0.999 Sc
```

Values from the calculation:
Total moment   0.000 μB/cell
Formation energy from the elements   0.227 eV per atom


First-principles (PBE-GGA) data for crystalline NdThAgIr at its relaxed geometry, as listed in Alexandria.

Structure (POSCAR):
```
NdThAgIr
1.0
0.000 3.643 3.643
3.643 0.000 3.643
3.643 3.643 0.000
Nd Th Ag Ir
1 1 1 1
direct
0.000 0.000 0.000 Nd
0.500 0.500 0.500 Th
0.750 0.750 0.750 Ag
0.250 0.250 0.250 Ir
```

Values from the calculation:
Total moment   0.000 μB/cell
Formation energy from the elements   -0.409 eV per atom


First-principles (PBE-GGA) data for crystalline TlIr2Au at its relaxed geometry, as listed in Alexandria.

Structure (POSCAR):
```
TlIr2Au
1.0
2.890 0.000 0.000
0.000 2.890 0.000
0.000 0.000 8.837
Tl Ir Au
1 2 1
direct
0.000 0.000 0.000 Tl
0.000 0.000 0.537 Ir
0.500 0.500 0.726 Ir
0.500 0.500 0.304 Au
```

Values from the calculation:
Total moment   0.000 μB/cell
Offset from the most stable computed form   13 meV/atom
Formation energy from the elements   0.398 eV per atom


| no. | DOS(E_F) (states/eV/cell) |
| --- | --- |
| 1 | 2.78 |
| 2 | 19.72 |
| 3 | 3.87 |
| 4 | 3.79 |